Entry 1:
First-principles (PBE) data for a geometry-optimized HoCoSi3Os structure, as listed in Alexandria via LeMat-Bulk.

- Energy relative to the elements, uncorrected: -325.8 meV/atom

Cell: 7.2944 11.3329 5.2848 Å, 90.00 90.00 90.00°
With the nearest neighbours (Å) after each atom.
Space group Cmcm (No. 63)
One atom of each set of equivalent atoms:
Ho 0.0000 0.2107 0.2500 x4  2 Si 2.73
Co 0.0000 0.4522 0.7500 x4  5 Si 2.05-2.27
Si 0.0000 0.2715 0.7500 x4  1 Co 2.05, 1 Os 2.23
Si 0.2418 0.5000 0.0000 x8  2 Co 2.27, 2 Os 2.45
Os 0.0000 0.0743 0.7500 x4  5 Si 2.23-2.45

=====

Entry 2:
First-principles (PBE) data for a geometry-optimized HoCoSi2Os structure, as listed in Alexandria via LeMat-Bulk.

- Energy relative to the elements, uncorrected: -779.0 meV/atom

Cell: 4.0221 4.0221 9.7502 Å, 90.00 90.00 90.00°
With the nearest neighbours (Å) after each atom.
Space group I-4m2 (No. 119)
One atom of each set of equivalent atoms:
Ho 0.0000 0.0000 0.0000 x2  8 Si 3.10, 4 Co 3.16, 4 Os 3.16
Co 0.0000 0.5000 0.2500 x2  4 Si 2.34
Si 0.0000 0.0000 0.3731 x4  2 Co 2.34, 2 Os 2.34, 1 Si 2.48
Os 0.0000 0.5000 0.7500 x2  4 Si 2.34

=====

Entry 3:
First-principles (PBE) data for a geometry-optimized TbHoCoOs structure, as listed in Alexandria via LeMat-Bulk.

- Formation energy: -45 kJ/mol of formula units

Cell: 6.7566 6.7566 6.7566 Å, 90.00 90.00 90.00°
With the nearest neighbours (Å) after each atom.
Space group F-43m (No. 216)
One atom of each set of equivalent atoms:
Tb 0.0000 0.0000 0.0000 x4  4 Os 2.93, 4 Co 2.93
Ho 0.0000 0.0000 0.5000 x4  4 Co 2.93, 4 Os 2.93
Co 0.2500 0.2500 0.2500 x4  4 Tb 2.93, 4 Ho 2.93
Os 0.2500 0.2500 0.7500 x4  4 Tb 2.93, 4 Ho 2.93

=====

Entry 4:
First-principles (PBE) data for a geometry-optimized HoThCoOs structure, as listed in Alexandria via LeMat-Bulk.

- Formation energy: -82 kJ/mol of formula units

Cell: 6.9051 6.9051 6.9051 Å, 90.00 90.00 90.00°
With the nearest neighbours (Å) after each atom.
Space group F-43m (No. 216)
One atom of each set of equivalent atoms:
Ho 0.0000 0.0000 0.0000 x4  4 Co 2.99, 4 Os 2.99
Th 0.0000 0.0000 0.5000 x4  4 Co 2.99, 4 Os 2.99
Co 0.2500 0.2500 0.2500 x4  4 Th 2.99, 4 Ho 2.99
Os 0.2500 0.2500 0.7500 x4  4 Th 2.99, 4 Ho 2.99

=====

Entry 5:
First-principles (PBE) data for a geometry-optimized HoTiCoOs structure, as listed in Alexandria via LeMat-Bulk.

- Formation energy: -94 kJ/mol of formula units

Cell: 6.4091 6.4091 6.4091 Å, 90.00 90.00 90.00°
With the nearest neighbours (Å) after each atom.
Space group F-43m (No. 216)
One atom of each set of equivalent atoms:
Ho 0.0000 0.0000 0.0000 x4  4 Co 2.78, 4 Os 2.78
Ti 0.0000 0.0000 0.5000 x4  4 Co 2.78, 4 Os 2.78
Co 0.2500 0.2500 0.7500 x4  4 Ho 2.78, 4 Ti 2.78
Os 0.2500 0.2500 0.2500 x4  4 Ho 2.78, 4 Ti 2.78

=====

Entry 6:
First-principles (PBE) data for a geometry-optimized HoTmCoOs structure, as listed in Alexandria via LeMat-Bulk.

- Formation energy: -71 kJ/mol of formula units

Cell: 6.6931 6.6931 6.6931 Å, 90.00 90.00 90.00°
With the nearest neighbours (Å) after each atom.
Space group F-43m (No. 216)
One atom of each set of equivalent atoms:
Ho 0.0000 0.0000 0.0000 x4  4 Os 2.90, 4 Co 2.90
Tm 0.0000 0.0000 0.5000 x4  4 Co 2.90, 4 Os 2.90
Co 0.2500 0.2500 0.2500 x4  4 Ho 2.90, 4 Tm 2.90
Os 0.2500 0.2500 0.7500 x4  4 Tm 2.90, 4 Ho 2.90

=====

Entry 7:
First-principles (PBE) data for a geometry-optimized HoZrCoOs structure, as listed in Alexandria via LeMat-Bulk.

- Formation energy: -114 kJ/mol of formula units

Cell: 6.6064 6.6064 6.6064 Å, 90.00 90.00 90.00°
With the nearest neighbours (Å) after each atom.
Space group F-43m (No. 216)
One atom of each set of equivalent atoms:
Ho 0.0000 0.0000 0.0000 x4  4 Co 2.86, 4 Os 2.86
Zr 0.0000 0.0000 0.5000 x4  4 Co 2.86, 4 Os 2.86
Co 0.2500 0.2500 0.7500 x4  4 Zr 2.86, 4 Ho 2.86
Os 0.2500 0.2500 0.2500 x4  4 Zr 2.86, 4 Ho 2.86

=====

Entry 8:
First-principles (PBE) data for a geometry-optimized HoCo3P3 structure, as listed in Alexandria via LeMat-Bulk.

- E above lowest polymorph: 0.0 kJ/mol of formula units
- Formation energy: -511 kJ/mol of formula units

Cell: 6.3485 6.3485 19.0091 Å, 90.00 90.00 120.00°
With the nearest neighbours (Å) after each atom.
Space group R-3 (No. 148, hexagonal axes)
One atom of each set of equivalent atoms:
Ho 0.0000 0.0000 0.1668 x6  6 P 2.81-2.83, 3 Co 3.12
Co 0.0047 0.6576 0.3766 x18  4 P 2.17-2.23
P 0.0038 0.6872 0.5941 x18  4 Co 2.17-2.23

=====

Entry 9:
First-principles (PBE) data for a geometry-optimized Ho2Co3P4 structure, as listed in Alexandria via LeMat-Bulk.

- Formation energy: -691 kJ/mol of formula units

Cell: 5.1851 9.1960 11.5890 Å, 90.00 90.00 90.00°
With the nearest neighbours (Å) after each atom.
Space group Fmmm (No. 69)
One atom of each set of equivalent atoms:
Ho 0.0000 0.0000 0.1445 x8  8 P 2.86-3.13, 6 Co 3.09-3.13
Co 0.0000 0.0000 0.5000 x4  4 P 2.22
Co 0.2500 0.2500 0.0000 x8  4 P 2.27
P 0.0000 0.1593 0.3565 x16  3 Co 2.22-2.27

=====

Entry 10:
First-principles (PBE) data for a geometry-optimized HoCo5P3 structure, as listed in Alexandria via LeMat-Bulk.

- E above lowest polymorph: 0.0 kJ/mol of formula units
- Formation energy: -735 kJ/mol of formula units

Cell: 11.7115 3.6384 10.2701 Å, 90.00 90.00 90.00°
With the nearest neighbours (Å) after each atom.
Space group Pnma (No. 62)
One atom of each set of equivalent atoms:
Ho 0.2027 0.2500 0.0829 x4  6 P 2.78-2.85, 9 Co 2.88-3.10
Co 0.0082 0.7500 0.7167 x4  3 P 2.21-2.44
Co 0.0123 0.7500 0.0931 x4  4 P 2.29-2.31
Co 0.0683 0.7500 0.4678 x4  4 P 2.15-2.22
Co 0.1761 0.2500 0.7789 x4  4 P 2.16-2.33
Co 0.1985 0.2500 0.3828 x4  4 P 2.26-2.30, 2 Co 2.53
P 0.1090 0.7500 0.8983 x4  7 Co 2.21-2.33
P 0.1124 0.2500 0.5816 x4  5 Co 2.16-2.28
P 0.1301 0.7500 0.2706 x4  5 Co 2.15-2.30

=====

Entry 11:
First-principles (PBE) data for a geometry-optimized HoCo3P3 structure, as listed in Alexandria via LeMat-Bulk.

- E above lowest polymorph: 142.8 kJ/mol of formula units
- Formation energy: -368 kJ/mol of formula units

Cell: 6.0363 6.0363 6.0363 Å, 90.00 90.00 90.00°
With the nearest neighbours (Å) after each atom.
Space group Pm-3n (No. 223)
One atom of each set of equivalent atoms:
Ho 0.0000 0.0000 0.0000 x2  12 Co 3.37, 12 P 3.37
Co 0.0000 0.2500 0.5000 x6  4 P 2.13
P 0.0000 0.5000 0.2500 x6  4 Co 2.13

=====

Entry 12:
First-principles (PBE) data for a geometry-optimized HoCoP2 structure, as listed in Alexandria via LeMat-Bulk.

- Formation energy: -379 kJ/mol of formula units

Cell: 3.7821 3.7821 9.1691 Å, 90.00 90.00 90.00°
With the nearest neighbours (Å) after each atom.
Space group I-4m2 (No. 119)
One atom of each set of equivalent atoms:
Ho 0.0000 0.0000 0.0000 x2  8 P 2.93, 4 Co 2.97
Co 0.0000 0.5000 0.7500 x2  4 P 2.19
P 0.0000 0.0000 0.3705 x4  2 Co 2.19, 1 P 2.38